(1)
A relaxed DyY6Er2Tm crystal. Source: the Alexandria database, functional GGA-PBE.

Geometry as extended XYZ:
```
20
Lattice="9.1417 -2.0152 -2.0913 0.7183 8.4812 -1.9547 0.7183 -2.2677 8.4030" Properties=species:S:1:pos:R:3 pbc="T T T"
Dy 3.0037 1.6108 3.6574
Dy 7.5745 2.5876 0.6996
Y 1.1387 -0.7944 5.9827
Y 4.8688 -0.8020 5.9747
Y 9.4396 4.9928 -1.6257
Y 5.7095 5.0004 -1.6178
Y 3.9059 6.7198 1.0234
Y 2.1016 4.4323 -1.3505
Y 6.6724 -2.5214 3.3335
Y 8.4767 -0.2339 5.7074
Y 1.9505 4.6321 2.5405
Y 4.0569 2.8389 0.6795
Y 8.6277 -0.4338 1.8165
Y 6.5214 1.3595 3.6774
Er 5.2376 4.3172 3.3864
Er 0.7698 1.9819 0.9629
Er 5.3406 -0.1188 0.9705
Er 9.8085 2.2165 3.3941
Tm 3.0037 7.7227 -2.2321
Tm 7.5745 -3.5244 6.5891
```

energy of formation: 1.21 eV per formula unit
total magnetic moment: 0.00 μB/atom
electronic total energy: -5.578 eV/atom
crystal system: monoclinic

***

(2)
A relaxed CsAg2P2S7 crystal. Source: the Alexandria database, functional GGA-PBE.

Geometry as extended XYZ:
```
12
Lattice="-3.0044 2.6469 -5.1039 -0.2980 -3.2261 -5.6202 -10.7189 -4.9080 -0.3582" Properties=species:S:1:pos:R:3 pbc="T T T"
Cs -7.0106 -2.7436 -5.5412
Ag -10.7882 -4.2489 -8.2207
Ag -3.2330 -1.2383 -2.8616
P -5.2408 -1.5294 -10.0759
P -8.7805 -3.9578 -1.0065
S -3.5646 -3.3677 -6.2541
S -4.5700 -0.2669 -4.7152
S -5.4015 -0.9216 -8.1610
S -9.2620 -3.1720 -2.7988
S -10.5274 -2.8851 -6.1619
S 0.0000 0.0000 0.0000
S -8.7383 -5.8484 -5.1560
```

total magnetic moment: 0.09 μB/atom
electronic total energy: -4.059 eV/atom
crystal system: trigonal
formation energy without anion corrections: -4.693 kcal/mol of atoms

***

(3)
A relaxed TaOsSe2Br crystal. Source: the Alexandria database, functional GGA-PBE.

Geometry as extended XYZ:
```
5
Lattice="-2.9308 3.7823 0.5761 -2.7559 -1.5837 -3.6228 -2.6904 -2.5674 3.1689" Properties=species:S:1:pos:R:3 pbc="T T T"
Os 0.0000 0.0000 0.0000
Se -1.3779 -0.7918 -1.8114
Se -1.4654 1.8912 0.2880
Br -1.3452 -1.2837 1.5845
Ta -4.1885 -0.1844 0.0611
```

ΔE to the lowest computed polymorph: 0.92 eV per formula unit
total magnetic moment: 0.00 μB/atom
electronic total energy: -5.051 eV/atom
crystal system: tetragonal
formation energy without anion corrections: 29.832 kcal/mol of atoms

***

(4)
A relaxed ThZnBi2N crystal. Source: the Alexandria database, functional GGA-PBE.

Geometry as extended XYZ:
```
10
Lattice="4.1221 0.0000 0.0000 0.0000 4.1221 0.0000 0.0000 0.0000 15.4530" Properties=species:S:1:pos:R:3 pbc="T T T"
Th 2.0611 0.0000 8.8627
Th 0.0000 2.0611 6.5903
Zn 2.0611 0.0000 1.7096
Zn 0.0000 2.0611 13.7434
Bi 0.0000 2.0611 11.0831
Bi 0.0000 2.0611 1.1094
Bi 2.0611 0.0000 14.3435
Bi 2.0611 0.0000 4.3699
N 0.0000 0.0000 7.7265
N 2.0611 2.0611 7.7265
```

total magnetic moment: 0.00 μB/atom
electronic total energy: -5.574 eV/atom
crystal system: tetragonal
formation energy without anion corrections: -14.240 kcal/mol of atoms

***

(5)
A relaxed CoSi2Se4 crystal. Source: the Alexandria database, functional GGA-PBE.

Geometry as extended XYZ:
```
7
Lattice="1.7994 6.6466 0.0177 -1.7994 6.6466 0.0177 0.0000 2.8231 5.6041" Properties=species:S:1:pos:R:3 pbc="T T T"
Co 0.0000 0.0000 0.0000
Si 0.0000 10.5901 1.6232
Si 0.0000 5.5262 4.0165
Se 0.0000 8.3144 0.1569
Se 0.0000 7.8019 5.4828
Se 0.0000 12.9771 2.4797
Se 0.0000 3.1392 3.1599
```

total magnetic moment: 0.00 μB/atom
electronic total energy: -4.652 eV/atom
crystal system: monoclinic
formation energy without anion corrections: -2.217 kcal/mol of atoms

***

(6)
A relaxed CsTc3Ge crystal. Source: the Alexandria database, functional GGA-PBE.

Geometry as extended XYZ:
```
5
Lattice="4.8493 0.0000 0.0000 0.0000 4.8493 0.0000 0.0000 0.0000 4.8493" Properties=species:S:1:pos:R:3 pbc="T T T"
Cs 2.4247 2.4247 2.4247
Ge 0.0000 0.0000 0.0000
Tc 0.0000 2.4247 0.0000
Tc 0.0000 0.0000 2.4247
Tc 2.4247 0.0000 0.0000
```

ΔE to the lowest computed polymorph: 0.00 eV per formula unit
energy of formation: 8.33 eV per formula unit
total magnetic moment: 1.11 μB/atom
electronic total energy: -5.649 eV/atom
crystal system: cubic